The following is a DFT calculation (PBE-GGA) of Dy4Tm3Pt4 after structural relaxation.

Computed properties:
Symmetry: Immm
Theoretical density: 12.00 g/cm3
E_form: -0.93 eV per atom
DOS at the Fermi energy: 7.4 states/eV/f.u.

Cell: 9.443 9.443 9.443 Å, 157.02 124.92 60.46°
Element x y z (fractional)
Dy 0.022 0.835 0.187
Dy 0.352 0.165 0.187
Dy 0.648 0.835 0.813
Dy 0.978 0.165 0.813
Tm 0.000 0.500 0.500
Tm 0.402 0.402 0.000
Tm 0.598 0.598 0.000
Pt 0.258 0.758 0.500
Pt 0.294 0.000 0.294
Pt 0.706 0.000 0.706
Pt 0.742 0.242 0.500